(1)
Compound: Nd2DyGa2
Source: Alexandria
Functional: PBE
Structure: optimized geometry

Calculated values
ρ   7.3 g cm⁻³
Calculated formation energy   -0.481 eV/atom
E above lowest polymorph   0 meV per atom
Electronic total energy   -4.520 eV/atom
Size of the total moment   0.00 μB/f.u.
Crystal system   orthorhombic

Cell lengths 4.6814, 5.9502, 5.9502 Å; angles 67.51, 66.83, 66.83 degrees
Last column: nearest neighbours and their distance in Å.
Positions (direct):
Nd 0.8006 0.6994 0.6994  6 Ga 3.21-3.28, 1 Nd 3.48, 2 Dy 3.51
Nd 0.1994 0.3006 0.3006  6 Ga 3.21-3.28, 1 Nd 3.48, 2 Dy 3.51
Dy 0.0000 0.0000 0.0000  4 Ga 3.06
Ga 0.5000 0.7026 0.2974  1 Ga 2.68
Ga 0.5000 0.2974 0.7026  1 Ga 2.68

=====

(2)
Compound: LiAgTe2Mo
Source: Alexandria
Functional: PBE
Structure: optimized geometry

Calculated values
ρ   5.7 g cm⁻³
Electronic total energy   -3.871 eV/atom
Size of the total moment   0.00 μB/f.u.
Crystal system   tetragonal

Cell lengths 5.2084, 5.0276, 5.2084 Å; angles 90.00, 90.00, 90.00 degrees
Last column: nearest neighbours and their distance in Å.
Positions (direct):
Mo 0.0000 0.0000 0.0000  2 Li 2.51, 4 Te 2.60
Te 0.0000 0.0000 0.5000  2 Mo 2.60
Te 0.5000 0.0000 0.0000  2 Mo 2.60
Ag 0.5000 0.5000 0.5000  8 Te 3.62, 4 Li 3.68
Li 0.0000 0.5000 0.0000  2 Mo 2.51

=====

Q: Among the records above, which one has the highest ρ?
A: Nd2DyGa2